BaTa2Cl: optimized geometry, PBEsol.

The structure belongs to space group Amm2 (No. 38); the cell edges are 3.226, 3.634 and 16.438 Å and the angles 90.00°, 90.00° and 90.00°. The asymmetric unit holds Ba at (0.000, 0.000, 0.000), Ta at (0.000, 0.000, 0.235), Ta at (0.500, 0.000, 0.656) and Cl at (0.500, 0.000, 0.364).

As for the formation energy without anion corrections: -1 meV per atom. For the density of states at the Fermi level, the calculation gives 9.76 states/eV/cell. As for the energy above the most stable polymorph in this dataset: 0 meV per atom. The total energy comes out at -58.529 eV per cell. The total magnetic moment is 0.000 μB/atom.


BaTa2Cl: optimized geometry, PBEsol.

The structure belongs to space group I4/mmm (No. 139); the cell edges are 3.941, 3.941 and 14.439 Å and the angles 90.00°, 90.00° and 90.00°. The asymmetric unit holds Ba at (0.000, 0.000, 0.000), Ta at (0.000, 0.500, 0.250) and Cl at (0.000, 0.000, 0.500).

As for the formation energy without anion corrections: 572 meV per atom. For the density of states at the Fermi level, the calculation gives 11.51 states/eV/cell. As for the energy above the most stable polymorph in this dataset: 573 meV per atom. The total energy comes out at -53.944 eV per cell. The total magnetic moment is 0.001 μB/atom.


BaTaCl2: optimized geometry, PBEsol.

The structure belongs to space group Fm-3m (No. 225); the cell edges are 7.419, 7.419 and 7.419 Å and the angles 90.00°, 90.00° and 90.00°. The asymmetric unit holds Ba at (0.000, 0.000, 0.000), Ta at (0.000, 0.000, 0.500) and Cl at (0.250, 0.250, 0.250).

As for the formation energy without anion corrections: 0 meV per atom. For the density of states at the Fermi level, the calculation gives 19.63 states/eV/cell. As for the energy above the most stable polymorph in this dataset: 512 meV per atom. The total energy comes out at -74.866 eV per cell. The total magnetic moment is 1.072 μB/atom.


BaTa2Cl: optimized geometry, PBEsol.

The structure belongs to space group P4mm (No. 99); the cell edges are 3.499, 3.499 and 8.438 Å and the angles 90.00°, 90.00° and 90.00°. The asymmetric unit holds Ba at (0.000, 0.000, 0.000), Ta at (0.000, 0.000, 0.562), Ta at (0.500, 0.500, 0.685) and Cl at (0.500, 0.500, 0.225).

As for the formation energy without anion corrections: 119 meV per atom. For the density of states at the Fermi level, the calculation gives 3.51 states/eV/cell. As for the energy above the most stable polymorph in this dataset: 120 meV per atom. The total energy comes out at -28.783 eV per cell. The total magnetic moment is 0.000 μB/atom.


BaTaCl4: optimized geometry, PBEsol.

The structure belongs to space group F-43m (No. 216); the cell edges are 8.378, 8.378 and 8.378 Å and the angles 90.00°, 90.00° and 90.00°. The asymmetric unit holds Ba at (0.000, 0.000, 0.000), Ta at (0.250, 0.250, 0.750) and Cl at (0.125, 0.125, 0.375).

As for the formation energy without anion corrections: 193 meV per atom. For the density of states at the Fermi level, the calculation gives 43.11 states/eV/cell. The total energy comes out at -86.302 eV per cell. The total magnetic moment is 0.731 μB/atom.


BaTa2Cl: optimized geometry, PBEsol.

The structure belongs to space group Pmmm (No. 47); the cell edges are 3.214, 4.624 and 7.066 Å and the angles 90.00°, 90.00° and 90.00°. The asymmetric unit holds Ba at (0.000, 0.000, 0.000), Ta at (0.000, 0.500, 0.500), Ta at (0.500, 0.000, 0.500) and Cl at (0.500, 0.500, 0.000).

As for the formation energy without anion corrections: 404 meV per atom. For the density of states at the Fermi level, the calculation gives 4.37 states/eV/cell. As for the energy above the most stable polymorph in this dataset: 406 meV per atom. The total energy comes out at -27.642 eV per cell. The total magnetic moment is 0.000 μB/atom.


BaTaCl2: optimized geometry, PBEsol.

The structure belongs to space group I-4m2 (No. 119); the cell edges are 4.187, 4.187 and 11.988 Å and the angles 90.00°, 90.00° and 90.00°. The asymmetric unit holds Ba at (0.000, 0.000, 0.000), Ta at (0.000, 0.500, 0.750), Cl at (0.000, 0.000, 0.500) and Cl at (0.000, 0.500, 0.250).

As for the formation energy without anion corrections: -55 meV per atom. For the density of states at the Fermi level, the calculation gives 6.98 states/eV/cell. As for the energy above the most stable polymorph in this dataset: 457 meV per atom. The total energy comes out at -37.872 eV per cell. The total magnetic moment is 0.873 μB/atom.


BaTaCl: optimized geometry, PBEsol.

The structure belongs to space group F-43m (No. 216); the cell edges are 7.113, 7.113 and 7.113 Å and the angles 90.00°, 90.00° and 90.00°. The asymmetric unit holds Ba at (0.000, 0.000, 0.000), Ta at (0.000, 0.000, 0.500) and Cl at (0.250, 0.250, 0.750).

As for the formation energy without anion corrections: 873 meV per atom. For the density of states at the Fermi level, the calculation gives 8.63 states/eV/cell. As for the energy above the most stable polymorph in this dataset: 0 meV per atom. The total energy comes out at -56.359 eV per cell. The total magnetic moment is 0.598 μB/atom.


Ba2TcCl: optimized geometry, PBEsol.

The structure belongs to space group P4/mmm (No. 123); the cell edges are 4.451, 4.451 and 6.052 Å and the angles 90.00°, 90.00° and 90.00°. The asymmetric unit holds Ba at (0.000, 0.000, 0.000), Ba at (0.500, 0.500, 0.500), Tc at (0.000, 0.000, 0.500) and Cl at (0.500, 0.500, 0.000).

As for the formation energy without anion corrections: -140 meV per atom. For the density of states at the Fermi level, the calculation gives 4.69 states/eV/cell. As for the energy above the most stable polymorph in this dataset: 0 meV per atom. The total energy comes out at -18.133 eV per cell. The total magnetic moment is 0.361 μB/atom.


Ba2TcCl: optimized geometry, PBEsol.

The structure belongs to space group F-43m (No. 216); the cell edges are 7.657, 7.657 and 7.657 Å and the angles 90.00°, 90.00° and 90.00°. The asymmetric unit holds Ba at (0.000, 0.000, 0.000), Ba at (0.250, 0.250, 0.250), Tc at (0.000, 0.000, 0.500) and Cl at (0.250, 0.250, 0.750).

As for the formation energy without anion corrections: 532 meV per atom. For the density of states at the Fermi level, the calculation gives 24.22 states/eV/cell. As for the energy above the most stable polymorph in this dataset: 672 meV per atom. The total energy comes out at -61.771 eV per cell. The total magnetic moment is 0.523 μB/atom.


BaTcCl: optimized geometry, PBEsol.

The structure belongs to space group I4mm (No. 107); the cell edges are 3.362, 3.362 and 12.054 Å and the angles 90.00°, 90.00° and 90.00°. The asymmetric unit holds Ba at (0.000, 0.000, 0.000), Tc at (0.000, 0.000, 0.696) and Cl at (0.000, 0.000, 0.307).

As for the formation energy without anion corrections: 430 meV per atom. For the density of states at the Fermi level, the calculation gives 3.87 states/eV/cell. The total energy comes out at -28.267 eV per cell. The total magnetic moment is 0.671 μB/atom.


BaTc2Cl: optimized geometry, PBEsol.

The structure belongs to space group P2/m (No. 10); the cell edges are 4.391, 3.258 and 6.396 Å and the angles 90.00°, 90.07° and 90.00°. The asymmetric unit holds Ba at (0.000, 0.000, 0.000), Tc at (0.000, 0.500, 0.500), Tc at (0.500, 0.000, 0.500) and Cl at (0.500, 0.500, 0.000).

As for the formation energy without anion corrections: 625 meV per atom. For the density of states at the Fermi level, the calculation gives 4.64 states/eV/cell. As for the energy above the most stable polymorph in this dataset: 559 meV per atom. The total energy comes out at -24.191 eV per cell. The total magnetic moment is 0.282 μB/atom.


- Which value of total magnetic moment does entry 11 give?
  0.671 μB/atom